Entry 1:
# Er2ReO

Er2ReO after structural relaxation (PBE, the Alexandria database).

Cell and atoms, written as extended XYZ:
```
4
Lattice="1.558 0.900 8.471 -1.558 0.900 8.471 0.000 -1.799 8.471" Properties=species:S:1:pos:R:3 pbc="T T T"
Er 0.000 0.000 2.727
Er 0.000 0.000 22.687
Re 0.000 0.000 0.000
O 0.000 0.000 12.707
```

Computed properties:
Formation energy from raw total energies ... -0.67 eV/atom
Symmetry ... No. 166


Entry 2:
# NbC2Cl

NbC2Cl after structural relaxation (PBE, the Alexandria database).

Cell and atoms, written as extended XYZ:
```
8
Lattice="-2.642 2.642 5.161 2.642 -2.642 5.161 2.642 2.642 -5.161" Properties=species:S:1:pos:R:3 pbc="T T T"
Nb 0.000 0.000 0.000
Nb 0.000 2.642 2.580
C 3.962 0.877 -1.290
C 0.877 1.321 1.290
C -1.321 1.765 3.871
C 1.765 1.321 6.451
Cl 2.642 0.000 2.580
Cl 0.000 0.000 5.161
```

Computed properties:
Offset from the most stable computed form ... 0 meV per atom
Formation energy from raw total energies ... 1.52 eV/atom
Symmetry ... No. 122


Entry 3:
# Cs2SrHgCl6

Cs2SrHgCl6 after structural relaxation (PBE, the Alexandria database).

Cell and atoms, written as extended XYZ:
```
10
Lattice="0.000 5.556 5.556 5.556 0.000 5.556 5.556 5.556 0.000" Properties=species:S:1:pos:R:3 pbc="T T T"
Cs 2.778 2.778 2.778
Cs 8.334 8.334 8.334
Sr 0.000 0.000 0.000
Hg 5.556 5.556 5.556
Cl 5.556 5.556 2.857
Cl 5.556 2.857 5.556
Cl 8.256 5.556 5.556
Cl 2.857 5.556 5.556
Cl 5.556 8.256 5.556
Cl 5.556 5.556 8.256
```

Computed properties:
Formation energy from raw total energies ... -1.72 eV/atom
Symmetry ... No. 225


Entry 4:
# CuAg3Br4

CuAg3Br4 after structural relaxation (PBE, the Alexandria database).

Cell and atoms, written as extended XYZ:
```
8
Lattice="-3.085 3.085 6.149 3.085 -3.085 6.149 3.085 3.085 -6.149" Properties=species:S:1:pos:R:3 pbc="T T T"
Cu 0.000 0.000 0.000
Ag 3.085 0.000 3.074
Ag 0.000 0.000 6.149
Ag 0.000 3.085 3.074
Br 1.428 1.428 -1.431
Br 1.658 -1.658 7.580
Br 1.658 1.658 4.717
Br -1.658 1.658 7.580
```

Computed properties:
Formation energy from raw total energies ... -0.31 eV/atom
Symmetry ... No. 121


Entry 5:
# Cs2KNaZn

Cs2KNaZn after structural relaxation (PBE, the Alexandria database).

Cell and atoms, written as extended XYZ:
```
5
Lattice="7.399 0.000 0.000 0.000 7.399 0.000 0.000 0.000 6.187" Properties=species:S:1:pos:R:3 pbc="T T T"
Cs 0.000 3.699 0.000
Cs 3.699 0.000 0.000
K 0.000 0.000 3.094
Na 3.699 3.699 3.094
Zn 3.699 3.699 0.000
```

Computed properties:
Offset from the most stable computed form ... 0 meV per atom
Formation energy ... 2.63 kcal/mol of atoms
Symmetry ... No. 123


Entry 6:
# PaCdIn6

PaCdIn6 after structural relaxation (PBE, the Alexandria database).

Cell and atoms, written as extended XYZ:
```
8
Lattice="4.784 -4.788 0.000 4.784 4.788 0.000 0.000 0.000 4.438" Properties=species:S:1:pos:R:3 pbc="T T T"
Pa 0.000 0.000 0.000
Cd 4.784 0.000 0.000
In 2.392 2.394 0.000
In 4.784 2.352 2.219
In 2.440 0.000 2.219
In 2.392 -2.394 0.000
In 7.128 0.000 2.219
In 4.784 -2.352 2.219
```

Computed properties:
Formation energy ... 0.62 kcal/mol of atoms
Symmetry ... No. 65


Entry 7:
# Hf2TaIr2

Hf2TaIr2 after structural relaxation (PBE, the Alexandria database).

Cell and atoms, written as extended XYZ:
```
10
Lattice="7.288 0.000 0.000 0.000 7.288 0.000 0.000 0.000 3.489" Properties=species:S:1:pos:R:3 pbc="T T T"
Hf 1.222 2.422 0.000
Hf 2.422 6.065 0.000
Hf 4.866 1.222 0.000
Hf 6.065 4.866 0.000
Ta 0.000 0.000 1.744
Ta 3.644 3.644 1.744
Ir 0.987 4.631 1.744
Ir 2.657 0.987 1.744
Ir 4.631 6.301 1.744
Ir 6.301 2.657 1.744
```

Computed properties:
Offset from the most stable computed form ... 0 meV per atom
Formation energy ... -12.67 kcal/mol of atoms
Symmetry ... No. 127


Entry 8:
# SnSbOsN2

SnSbOsN2 after structural relaxation (PBE, the Alexandria database).

Cell and atoms, written as extended XYZ:
```
5
Lattice="4.059 0.000 0.000 0.000 4.059 0.000 0.000 0.000 5.584" Properties=species:S:1:pos:R:3 pbc="T T T"
Sn 0.000 0.000 0.000
Sb 2.029 2.029 2.792
Os 0.000 0.000 2.792
N 0.000 2.029 0.000
N 2.029 0.000 0.000
```

Computed properties:
Formation energy from raw total energies ... 1.82 eV/atom
Symmetry ... No. 123


Number 1: uncorrected energy -7.298 eV per atom. Number 2: uncorrected energy -6.075 eV per atom. Number 3: uncorrected energy -3.198 eV per atom. Number 4: uncorrected energy -2.730 eV per atom. Number 5: uncorrected energy -0.965 eV per atom. Number 6: uncorrected energy -3.328 eV per atom. Number 7: uncorrected energy -10.446 eV per atom. Number 8: uncorrected energy -5.380 eV per atom.